1.
Computed, not measured: a relaxed Ba2SrLa crystal at the PBE-GGA level of DFT.

```
Ba2SrLa
1.0
2.090 1.207 13.723
-2.090 1.207 13.723
0.000 -2.413 13.723
Ba Sr La
2 1 1
Cartesian
0.000 0.000 0.000
0.000 0.000 6.452
0.000 0.000 23.826
0.000 0.000 30.665
```

Space-group type = R3m (160)
Final energy = -9.99 eV per cell
E_form = 0.5 eV per formula unit
Relative energy among the computed polymorphs = 0 meV per atom
Size of the total moment = 0.00 Bohr magnetons per cell

=====

2.
Computed, not measured: a relaxed NaY2Lu crystal at the PBE-GGA level of DFT.

```
NaY2Lu
1.0
1.744 1.007 12.649
-1.744 1.007 12.649
0.000 -2.013 12.649
Na Y Lu
1 2 1
Cartesian
0.000 0.000 0.000
0.000 0.000 3.522
0.000 0.000 34.425
0.000 0.000 18.974
```

Space-group type = R-3m (166)
Final energy = -18.12 eV per cell
E_form = 0.7 eV per formula unit
Relative energy among the computed polymorphs = 33 meV per atom
Size of the total moment = 0.00 Bohr magnetons per cell

=====

3.
Computed, not measured: a relaxed ScTlAgPt2 crystal at the PBE-GGA level of DFT.

```
ScTlAgPt2
1.0
5.057 0.000 0.000
0.000 5.057 0.000
0.000 0.000 4.990
Sc Tl Ag Pt
1 1 1 2
Cartesian
0.000 0.000 0.000
2.529 2.529 2.495
2.529 2.529 0.000
0.000 2.529 2.495
2.529 0.000 2.495
```

Space-group type = P4/mmm (123)
Final energy = -20.22 eV per cell
E_form = 3.4 eV per formula unit
Size of the total moment = 0.00 Bohr magnetons per cell

=====

4.
Computed, not measured: a relaxed TiCoN2 crystal at the PBE-GGA level of DFT.

```
TiCoN2
1.0
5.806 0.000 0.000
0.000 4.114 0.000
0.000 0.000 6.810
Ti Co N
4 4 8
Cartesian
0.662 1.029 0.838
2.240 3.086 4.243
3.565 1.029 2.567
5.143 3.086 5.972
0.374 1.029 4.469
2.529 3.086 1.064
3.277 1.029 5.746
5.431 3.086 2.341
0.260 3.086 4.225
0.619 3.086 0.711
2.284 1.029 4.116
2.643 1.029 0.820
3.162 3.086 5.990
3.521 3.086 2.694
5.187 1.029 6.099
5.546 1.029 2.585
```

Space-group type = Pnma (62)
Final energy = -137.72 eV per cell
Relative energy among the computed polymorphs = 0 meV per atom
Formation energy from raw total energies = -0.694 eV per atom
Size of the total moment = 2.56 Bohr magnetons per cell

=====

5.
Computed, not measured: a relaxed CaZnAs2Br crystal at the PBE-GGA level of DFT.

```
CaZnAs2Br
1.0
5.671 0.000 0.000
0.000 5.671 0.000
0.000 0.000 5.497
Ca Zn As Br
1 1 2 1
Cartesian
0.000 0.000 0.000
2.836 2.836 2.748
0.000 2.836 0.000
2.836 0.000 0.000
0.000 0.000 2.748
```

Space-group type = P4/mmm (123)
Final energy = -12.51 eV per cell
Relative energy among the computed polymorphs = 593 meV per atom
Formation energy from raw total energies = 0.347 eV per atom
Size of the total moment = 1.88 Bohr magnetons per cell

=====

6.
Computed, not measured: a relaxed Mg14TiNi crystal at the PBE-GGA level of DFT.

```
Mg14TiNi
1.0
10.019 0.000 0.000
0.000 3.082 5.453
0.000 -3.082 5.453
Mg Ti Ni
14 1 1
Cartesian
0.000 0.000 0.000
0.000 -1.523 2.729
0.000 1.523 2.729
0.000 0.000 5.433
2.507 0.000 7.227
2.665 -1.552 4.566
2.665 1.552 4.566
2.731 0.000 1.702
5.009 -1.486 8.248
5.009 1.486 8.248
7.288 0.000 1.702
7.354 -1.552 4.566
7.354 1.552 4.566
7.511 0.000 7.227
5.009 0.000 5.546
5.009 0.000 10.855
```

Space-group type = Amm2 (38)
Final energy = -35.19 eV per cell
E_form = 0.8 eV per formula unit
Relative energy among the computed polymorphs = 0 meV per atom
Size of the total moment = 0.91 Bohr magnetons per cell

=====

7.
Computed, not measured: a relaxed DyPaPC crystal at the PBE-GGA level of DFT.

```
DyPaPC
1.0
1.889 1.091 6.263
-1.889 1.091 6.263
0.000 -2.181 6.263
Dy Pa P C
1 1 1 1
Cartesian
0.000 0.000 0.000
0.000 0.000 9.032
0.000 0.000 4.524
0.000 0.000 14.117
```

Space-group type = R3m (160)
Final energy = -32.46 eV per cell
E_form = -3.7 eV per formula unit
Size of the total moment = 0.00 Bohr magnetons per cell

=====

8.
Computed, not measured: a relaxed TcMo3N crystal at the PBE-GGA level of DFT.

```
TcMo3N
1.0
4.663 0.000 0.000
0.000 4.663 0.000
0.000 0.000 4.663
Tc Mo N
1 3 1
Cartesian
0.000 0.000 0.000
0.000 0.000 2.331
0.000 2.331 0.000
2.331 0.000 0.000
2.331 2.331 2.331
```

Space-group type = Pm-3m (221)
Final energy = -37.63 eV per cell
Relative energy among the computed polymorphs = 2780 meV per atom
Formation energy from raw total energies = 2.711 eV per atom
Size of the total moment = 0.00 Bohr magnetons per cell

=====

9.
Computed, not measured: a relaxed Cs2Ba2Ga crystal at the PBE-GGA level of DFT.

```
Cs2Ba2Ga
1.0
9.089 0.000 0.000
0.000 9.089 0.000
0.000 0.000 8.182
Cs Ba Ga
4 4 2
Cartesian
1.671 2.874 0.000
2.874 7.418 0.000
6.215 1.671 0.000
7.418 6.215 0.000
1.617 6.161 4.091
2.927 1.617 4.091
6.161 7.471 4.091
7.471 2.927 4.091
0.000 0.000 4.091
4.544 4.544 4.091
```

Space-group type = P4/mbm (127)
Final energy = -16.08 eV per cell
E_form = 0.5 eV per formula unit
Size of the total moment = 0.00 Bohr magnetons per cell

=====

10.
Computed, not measured: a relaxed CaSm4Al4 crystal at the PBE-GGA level of DFT.

```
CaSm4Al4
1.0
8.941 0.000 0.000
0.000 8.941 0.000
0.000 0.000 5.959
Ca Sm Al
2 8 8
Cartesian
2.235 2.235 1.490
6.706 6.706 4.470
0.759 7.391 3.760
1.550 5.229 0.780
2.920 8.182 0.780
3.711 6.020 3.760
5.229 2.920 2.200
6.020 0.759 5.179
7.391 3.711 5.179
8.182 1.550 2.200
0.527 1.392 5.055
1.392 3.943 3.884
3.079 0.527 3.884
3.943 3.079 5.055
4.997 5.862 0.904
5.862 8.414 2.076
7.549 4.997 2.076
8.414 7.549 0.904
```

Space-group type = P4_2/n (86)
Final energy = -73.85 eV per cell
E_form = -1.1 eV per formula unit
Size of the total moment = 0.00 Bohr magnetons per cell

=====

11.
Computed, not measured: a relaxed CaZrTl crystal at the PBE-GGA level of DFT.

```
CaZrTl
1.0
5.198 0.000 0.000
-2.599 4.501 0.000
0.000 0.000 3.521
Ca Zr Tl
1 1 1
Cartesian
0.000 0.000 0.000
0.000 3.001 1.760
2.599 1.500 1.760
```

Space-group type = P-6m2 (187)
Final energy = -12.60 eV per cell
E_form = 0.3 eV per formula unit
Relative energy among the computed polymorphs = 201 meV per atom
Size of the total moment = 0.00 Bohr magnetons per cell